Record 1
A plane-wave DFT calculation with GGA-PBE was carried out for crystalline InAsW2 at its relaxed geometry.

Geometry as CIF:
```
data_InAsW2
_chemical_formula_sum 'In4 As4 W8'
_symmetry_space_group_name_H-M 'I -4 2 d'
_symmetry_Int_Tables_number 122
_symmetry_space_group_name_Hall 'I -4 2bw'
_cell_length_a 3.939
_cell_length_b 3.939
_cell_length_c 19.368
_cell_angle_alpha 90.00
_cell_angle_beta 90.00
_cell_angle_gamma 90.00
loop_
_atom_site_label
_atom_site_fract_x
_atom_site_fract_y
_atom_site_fract_z
In1 0.000 0.000 0.000
As1 0.000 0.000 0.500
W1 0.230 0.250 0.625
```

Computed properties:
**N(E_F)**: 8.334 states/eV/cell
**Calculated total energy**: -7.528 eV/atom
**Excess energy over the best structure of this formula in the dataset**: 571 meV per atom
**Energy relative to the elements**: 795 meV/atom



Record 2
A plane-wave DFT calculation with GGA-PBE was carried out for crystalline BaAs2 at its relaxed geometry.

Geometry as CIF:
```
data_BaAs2
_chemical_formula_sum 'Ba2 As4'
_symmetry_space_group_name_H-M 'P n n m'
_symmetry_Int_Tables_number 58
_cell_length_a 4.102
_cell_length_b 7.776
_cell_length_c 6.236
_cell_angle_alpha 90.00
_cell_angle_beta 90.00
_cell_angle_gamma 90.00
loop_
_symmetry_equiv_pos_as_xyz
'x,y,z'
'-x,-y,-z'
'-x,-y,z'
'x,y,-z'
'x+1/2,-y+1/2,-z+1/2'
'-x+1/2,y+1/2,z+1/2'
'-x+1/2,y+1/2,-z+1/2'
'x+1/2,-y+1/2,z+1/2'
loop_
_atom_site_label
_atom_site_fract_x
_atom_site_fract_y
_atom_site_fract_z
Ba1 0.000 0.000 0.000
As1 0.244 0.095 0.500
```

Computed properties:
**N(E_F)**: 2.491 states/eV/cell
**Calculated total energy**: -4.314 eV/atom
**Energy relative to the elements**: -574 meV/atom